1.
Here is a relaxed structure of Tm3Al2Cu4 from Alexandria via LeMat-Bulk. Energies are from GGA-PBE.

## Properties
Volume, Å³ per cell: 167
E_form, eV per atom: -0.36
SG: C2/m (12)
Uncorrected energy, eV for the cell shown: -40.6

Cell: 5.6675 5.6675 8.1735 Å, 112.31 112.31 44.33°
Closest atoms and distances in Å follow each position.
Atoms (fractional coordinates):
Tm (0.0000, 0.0000, 0.0000)  8 Cu 3.08-3.14, 4 Al 3.33
Tm (0.3618, 0.3618, 0.3048)  7 Cu 2.80-3.01, 4 Al 3.07
Tm (0.6382, 0.6382, 0.6952)  7 Cu 2.80-3.01, 4 Al 3.07
Al (0.3378, 0.3378, 0.6672)  4 Cu 2.49-2.64
Al (0.6622, 0.6622, 0.3328)  4 Cu 2.49-2.64
Cu (0.0806, 0.0806, 0.4146)  3 Al 2.49-2.64, 1 Cu 2.60
Cu (0.2729, 0.2729, 0.9317)  1 Al 2.52, 2 Cu 2.55, 1 Tm 2.80
Cu (0.7271, 0.7271, 0.0683)  1 Al 2.52, 2 Cu 2.55, 1 Tm 2.80
Cu (0.9194, 0.9194, 0.5854)  3 Al 2.49-2.64, 1 Cu 2.60

=====

2.
Here is a relaxed structure of Tm2Al2Cu15 from Alexandria via LeMat-Bulk. Energies are from GGA-PBE.

## Properties
Volume, Å³ per cell: 266
E_form, eV per atom: -0.18
SG: R-3m (166)
Uncorrected energy, eV for the cell shown: -81.3

Cell: 6.4859 6.4859 6.4859 Å, 82.16 82.16 82.16°
Closest atoms and distances in Å follow each position.
Atoms (fractional coordinates):
Tm (0.1492, 0.1492, 0.1492)  15 Cu 2.98-3.27, 1 Al 3.12
Tm (0.8508, 0.8508, 0.8508)  15 Cu 2.98-3.27, 1 Al 3.12
Al (0.3957, 0.3957, 0.3957)  12 Cu 2.58-2.87, 1 Al 2.64
Al (0.6043, 0.6043, 0.6043)  12 Cu 2.58-2.87, 1 Al 2.64
Cu (0.0000, 0.5000, 0.5000)  8 Cu 2.47-2.48, 2 Al 2.58
Cu (0.1508, 0.1508, 0.6530)  8 Cu 2.47-2.65, 1 Al 2.66
Cu (0.1508, 0.6530, 0.1508)  8 Cu 2.47-2.65, 1 Al 2.66
Cu (0.2014, 0.5000, 0.7986)  8 Cu 2.48-2.65
Cu (0.2014, 0.7986, 0.5000)  8 Cu 2.48-2.65
Cu (0.3470, 0.8492, 0.8492)  8 Cu 2.47-2.65, 1 Al 2.66
Cu (0.5000, 0.0000, 0.5000)  8 Cu 2.47-2.48, 2 Al 2.58
Cu (0.5000, 0.2014, 0.7986)  8 Cu 2.48-2.65
Cu (0.5000, 0.5000, 0.0000)  8 Cu 2.47-2.48, 2 Al 2.58
Cu (0.5000, 0.7986, 0.2014)  8 Cu 2.48-2.65
Cu (0.6530, 0.1508, 0.1508)  8 Cu 2.47-2.65, 1 Al 2.66
Cu (0.7986, 0.2014, 0.5000)  8 Cu 2.48-2.65
Cu (0.7986, 0.5000, 0.2014)  8 Cu 2.48-2.65
Cu (0.8492, 0.3470, 0.8492)  8 Cu 2.47-2.65, 1 Al 2.66
Cu (0.8492, 0.8492, 0.3470)  8 Cu 2.47-2.65, 1 Al 2.66

=====

3.
Here is a relaxed structure of TmAl9Cu2 from Alexandria via LeMat-Bulk. Energies are from GGA-PBE.

## Properties
Volume, Å³ per cell: 402
E_form, eV per atom: -0.14
SG: I4_1/amd (141)
Uncorrected energy, eV for the cell shown: -96.0

Cell: 8.3256 8.3256 8.3256 Å, 100.41 100.41 129.70°
Closest atoms and distances in Å follow each position.
Atoms (fractional coordinates):
Tm (0.3750, 0.6250, 0.7500)  18 Al 3.30-3.54
Tm (0.6250, 0.3750, 0.2500)  18 Al 3.30-3.54
Al (0.1250, 0.8750, 0.2500)  4 Cu 2.81, 8 Al 2.85
Al (0.1302, 0.5579, 0.3270)  2 Cu 2.57-2.67, 6 Al 2.61-2.85
Al (0.1302, 0.8032, 0.5723)  2 Cu 2.57-2.67, 6 Al 2.61-2.85
Al (0.1968, 0.2691, 0.3270)  2 Cu 2.57-2.67, 6 Al 2.61-2.85
Al (0.1968, 0.8698, 0.9277)  2 Cu 2.57-2.67, 6 Al 2.61-2.85
Al (0.2691, 0.1968, 0.8270)  2 Cu 2.57-2.67, 6 Al 2.61-2.85
Al (0.2691, 0.4421, 0.0723)  2 Cu 2.57-2.67, 6 Al 2.61-2.85
Al (0.4421, 0.2691, 0.5723)  2 Cu 2.57-2.67, 6 Al 2.61-2.85
Al (0.4421, 0.8698, 0.1730)  2 Cu 2.57-2.67, 6 Al 2.61-2.85
Al (0.5579, 0.1302, 0.8270)  2 Cu 2.57-2.67, 6 Al 2.61-2.85
Al (0.5579, 0.7309, 0.4277)  2 Cu 2.57-2.67, 6 Al 2.61-2.85
Al (0.7309, 0.5579, 0.9277)  2 Cu 2.57-2.67, 6 Al 2.61-2.85
Al (0.7309, 0.8032, 0.1730)  2 Cu 2.57-2.67, 6 Al 2.61-2.85
Al (0.8032, 0.1302, 0.0723)  2 Cu 2.57-2.67, 6 Al 2.61-2.85
Al (0.8032, 0.7309, 0.6730)  2 Cu 2.57-2.67, 6 Al 2.61-2.85
Al (0.8698, 0.1968, 0.4277)  2 Cu 2.57-2.67, 6 Al 2.61-2.85
Al (0.8698, 0.4421, 0.6730)  2 Cu 2.57-2.67, 6 Al 2.61-2.85
Al (0.8750, 0.1250, 0.7500)  4 Cu 2.81, 8 Al 2.85
Cu (0.0000, 0.0000, 0.0000)  10 Al 2.57-2.81
Cu (0.0000, 0.0000, 0.5000)  10 Al 2.57-2.81
Cu (0.0000, 0.5000, 0.0000)  10 Al 2.57-2.81
Cu (0.5000, 0.0000, 0.5000)  10 Al 2.57-2.81

=====

4.
Here is a relaxed structure of TmAl2Cu6 from Alexandria via LeMat-Bulk. Energies are from GGA-PBE.

## Properties
Volume, Å³ per cell: 138
E_form, eV per atom: -0.10
SG: Immm (71)
Uncorrected energy, eV for the cell shown: -37.5

Cell: 7.2047 7.2047 7.2047 Å, 153.40 124.08 62.96°
Closest atoms and distances in Å follow each position.
Atoms (fractional coordinates):
Tm (0.0000, 0.0000, 0.0000)  12 Cu 2.77-3.05
Al (0.3615, 0.8615, 0.5000)  10 Cu 2.55-2.74
Al (0.6385, 0.1385, 0.5000)  10 Cu 2.55-2.74
Cu (0.0060, 0.3192, 0.6868)  4 Cu 2.42-2.52, 1 Al 2.55
Cu (0.3291, 0.5000, 0.8291)  3 Cu 2.31-2.42
Cu (0.3675, 0.6808, 0.6868)  4 Cu 2.42-2.52, 1 Al 2.55
Cu (0.6325, 0.3192, 0.3132)  4 Cu 2.42-2.52, 1 Al 2.55
Cu (0.6709, 0.5000, 0.1709)  3 Cu 2.31-2.42
Cu (0.9940, 0.6808, 0.3132)  4 Cu 2.42-2.52, 1 Al 2.55

=====

5.
Here is a relaxed structure of TmAl2Cu from Alexandria via LeMat-Bulk. Energies are from GGA-PBE.

## Properties
Volume, Å³ per cell: 75
E_form, eV per atom: 0.02
SG: R-3m (166)
Uncorrected energy, eV for the cell shown: -16.0

Cell: 9.2907 9.2907 9.2907 Å, 19.08 19.08 19.08°
Closest atoms and distances in Å follow each position.
Atoms (fractional coordinates):
Tm (0.0000, 0.0000, 0.0000)  6 Tm 3.08, 6 Al 3.18
Al (0.2370, 0.2370, 0.2370)  3 Cu 2.62
Al (0.7630, 0.7630, 0.7630)  3 Cu 2.62
Cu (0.5000, 0.5000, 0.5000)  6 Al 2.62

=====

6.
Here is a relaxed structure of TmAlCu from Alexandria via LeMat-Bulk. Energies are from GGA-PBE.

## Properties
Volume, Å³ per cell: 62
E_form, eV per atom: -0.26
SG: F-43m (216)
Uncorrected energy, eV for the cell shown: -13.1

Cell: 4.4430 4.4430 4.4430 Å, 60.00 60.00 60.00°
Closest atoms and distances in Å follow each position.
Atoms (fractional coordinates):
Tm (0.0000, 0.0000, 0.0000)  4 Cu 2.72
Al (0.5000, 0.5000, 0.5000)  4 Cu 2.72
Cu (0.2500, 0.2500, 0.2500)  4 Al 2.72, 4 Tm 2.72